Entry a
{
  "formula": "YGe2Rh4",
  "functional": "PBE",
  "state": "optimized geometry",
  "volume_a3_per_atom": 16.5,
  "sg": "No. 136",
  "total_magnetization_mub_per_cell": 0.000,
  "lattice_angstrom": [[7.718, 0.000, 0.000], [0.000, 7.718, 0.000], [0.000, 0.000, 3.885]],
  "species": ["Y", "Y", "Ge", "Ge", "Ge", "Ge", "Rh", "Rh", "Rh", "Rh", "Rh", "Rh", "Rh", "Rh"],
  "fractional_positions": [[0.000, 0.000, 0.000], [0.500, 0.500, 0.500], [0.227, 0.227, 0.500], [0.273, 0.727, 0.000], [0.727, 0.273, 0.000], [0.773, 0.773, 0.500], [0.076, 0.664, 0.500], [0.164, 0.424, 0.000], [0.336, 0.924, 0.500], [0.424, 0.164, 0.000], [0.576, 0.836, 0.000], [0.664, 0.076, 0.500], [0.836, 0.576, 0.000], [0.924, 0.336, 0.500]]
}

Entry b
{
  "formula": "YGe2Rh4",
  "functional": "PBE",
  "state": "optimized geometry",
  "volume_a3_per_atom": 15.9,
  "sg": "No. 62",
  "total_magnetization_mub_per_cell": 0.000,
  "lattice_angstrom": [[11.508, 0.000, 0.000], [0.000, 4.222, 0.000], [0.000, 0.000, 9.186]],
  "species": ["Y", "Y", "Y", "Y", "Ge", "Ge", "Ge", "Ge", "Ge", "Ge", "Ge", "Ge", "Rh", "Rh", "Rh", "Rh", "Rh", "Rh", "Rh", "Rh", "Rh", "Rh", "Rh", "Rh", "Rh", "Rh", "Rh", "Rh"],
  "fractional_positions": [[0.174, 0.250, 0.149], [0.326, 0.750, 0.649], [0.674, 0.250, 0.351], [0.826, 0.750, 0.851], [0.059, 0.750, 0.382], [0.139, 0.750, 0.915], [0.361, 0.250, 0.415], [0.441, 0.250, 0.882], [0.559, 0.750, 0.118], [0.639, 0.750, 0.585], [0.861, 0.250, 0.085], [0.941, 0.250, 0.618], [0.002, 0.250, 0.884], [0.061, 0.750, 0.671], [0.155, 0.250, 0.497], [0.230, 0.250, 0.811], [0.270, 0.750, 0.311], [0.345, 0.750, 0.997], [0.439, 0.250, 0.171], [0.498, 0.750, 0.384], [0.502, 0.250, 0.616], [0.561, 0.750, 0.829], [0.655, 0.250, 0.003], [0.730, 0.250, 0.689], [0.770, 0.750, 0.189], [0.845, 0.750, 0.503], [0.939, 0.250, 0.329], [0.998, 0.750, 0.116]]
}

Entry c
{
  "formula": "YGe2Rh4",
  "functional": "PBE",
  "state": "optimized geometry",
  "volume_a3_per_atom": 17.8,
  "sg": "No. 12",
  "total_magnetization_mub_per_cell": 0.000,
  "lattice_angstrom": [[5.710, 0.000, 0.000], [0.000, 5.147, 0.000], [-0.116, 0.000, 8.463]],
  "species": ["Y", "Y", "Ge", "Ge", "Ge", "Ge", "Rh", "Rh", "Rh", "Rh", "Rh", "Rh", "Rh", "Rh"],
  "fractional_positions": [[0.000, 0.000, 0.000], [0.500, 0.500, 0.000], [0.232, 0.500, 0.699], [0.268, 0.000, 0.301], [0.732, 0.000, 0.699], [0.768, 0.500, 0.301], [0.000, 0.244, 0.500], [0.000, 0.756, 0.500], [0.196, 0.500, 0.240], [0.304, 0.000, 0.760], [0.500, 0.256, 0.500], [0.500, 0.744, 0.500], [0.696, 0.000, 0.240], [0.804, 0.500, 0.760]]
}

Q: What are the energies relative to the best structure? A: entry a 5.6; entry b 0.0; entry c 44.6, in kJ/mol of atoms.

Entry a
{
  "formula": "Y2Ge5Rh3",
  "functional": "PBE",
  "state": "optimized geometry",
  "volume_a3_per_atom": 17.9,
  "sg": "No. 36",
  "total_magnetization_mub_per_cell": 0.000,
  "lattice_angstrom": [[2.118, -12.360, 0.000], [2.118, 12.360, 0.000], [0.000, 0.000, 6.839]],
  "species": ["Y", "Y", "Y", "Y", "Ge", "Ge", "Ge", "Ge", "Ge", "Ge", "Ge", "Ge", "Ge", "Ge", "Rh", "Rh", "Rh", "Rh", "Rh", "Rh"],
  "fractional_positions": [[0.021, 0.979, 0.500], [0.324, 0.676, 0.506], [0.676, 0.324, 0.006], [0.979, 0.021, 0.000], [0.100, 0.900, 0.139], [0.206, 0.794, 0.709], [0.209, 0.791, 0.287], [0.382, 0.618, 0.024], [0.452, 0.548, 0.334], [0.548, 0.452, 0.834], [0.618, 0.382, 0.524], [0.791, 0.209, 0.787], [0.794, 0.206, 0.209], [0.900, 0.100, 0.639], [0.107, 0.893, 0.771], [0.279, 0.721, 0.998], [0.446, 0.554, 0.718], [0.554, 0.446, 0.218], [0.721, 0.279, 0.498], [0.893, 0.107, 0.271]]
}

Entry b
{
  "formula": "Y2Ge5Rh3",
  "functional": "PBE",
  "state": "optimized geometry",
  "volume_a3_per_atom": 18.1,
  "sg": "No. 15",
  "total_magnetization_mub_per_cell": 0.000,
  "lattice_angstrom": [[5.691, -6.110, 0.000], [5.691, 6.110, 0.000], [-2.793, 0.000, 5.199]],
  "species": ["Y", "Y", "Y", "Y", "Ge", "Ge", "Ge", "Ge", "Ge", "Ge", "Ge", "Ge", "Ge", "Ge", "Rh", "Rh", "Rh", "Rh", "Rh", "Rh"],
  "fractional_positions": [[0.093, 0.370, 0.237], [0.370, 0.093, 0.737], [0.630, 0.907, 0.263], [0.907, 0.630, 0.763], [0.013, 0.987, 0.750], [0.235, 0.426, 0.831], [0.277, 0.723, 0.750], [0.292, 0.708, 0.250], [0.426, 0.235, 0.331], [0.574, 0.765, 0.669], [0.708, 0.292, 0.750], [0.723, 0.277, 0.250], [0.765, 0.574, 0.169], [0.987, 0.013, 0.250], [0.045, 0.761, 0.375], [0.239, 0.955, 0.125], [0.498, 0.502, 0.250], [0.502, 0.498, 0.750], [0.761, 0.045, 0.875], [0.955, 0.239, 0.625]]
}

Q: What are the energies relative to the best structure? A: entry a 3.5; entry b 0.0, in kJ/mol of atoms.

Entry a
{
  "formula": "ZnGeRh3",
  "functional": "PBE",
  "state": "optimized geometry",
  "volume_a3_per_atom": 18.4,
  "sg": "No. 221",
  "total_magnetization_mub_per_cell": 0.000,
  "lattice_angstrom": [[4.518, 0.000, 0.000], [0.000, 4.518, 0.000], [0.000, 0.000, 4.518]],
  "species": ["Zn", "Ge", "Rh", "Rh", "Rh"],
  "fractional_positions": [[0.000, 0.000, 0.000], [0.500, 0.500, 0.500], [0.000, 0.500, 0.500], [0.500, 0.000, 0.500], [0.500, 0.500, 0.000]]
}

Entry b
{
  "formula": "ZnGeRh3",
  "functional": "PBE",
  "state": "optimized geometry",
  "volume_a3_per_atom": 15.7,
  "sg": "No. 63",
  "total_magnetization_mub_per_cell": 0.000,
  "lattice_angstrom": [[5.022, -4.163, 0.000], [5.022, 4.163, 0.000], [0.000, 0.000, 7.489]],
  "species": ["Zn", "Zn", "Zn", "Zn", "Ge", "Ge", "Ge", "Ge", "Rh", "Rh", "Rh", "Rh", "Rh", "Rh", "Rh", "Rh", "Rh", "Rh", "Rh", "Rh"],
  "fractional_positions": [[0.014, 0.986, 0.750], [0.341, 0.659, 0.250], [0.659, 0.341, 0.750], [0.986, 0.014, 0.250], [0.130, 0.471, 0.750], [0.471, 0.130, 0.250], [0.529, 0.870, 0.750], [0.870, 0.529, 0.250], [0.032, 0.703, 0.007], [0.032, 0.703, 0.493], [0.297, 0.968, 0.007], [0.297, 0.968, 0.493], [0.370, 0.370, 0.000], [0.370, 0.370, 0.500], [0.630, 0.630, 0.000], [0.630, 0.630, 0.500], [0.703, 0.032, 0.507], [0.703, 0.032, 0.993], [0.968, 0.297, 0.507], [0.968, 0.297, 0.993]]
}

Entry c
{
  "formula": "ZnGeRh3",
  "functional": "PBE",
  "state": "optimized geometry",
  "volume_a3_per_atom": 18.4,
  "sg": "No. 221",
  "total_magnetization_mub_per_cell": 1.002,
  "lattice_angstrom": [[4.514, 0.000, 0.000], [0.000, 4.514, 0.000], [0.000, 0.000, 4.514]],
  "species": ["Zn", "Ge", "Rh", "Rh", "Rh"],
  "fractional_positions": [[0.000, 0.000, 0.000], [0.500, 0.500, 0.500], [0.000, 0.000, 0.500], [0.000, 0.500, 0.000], [0.500, 0.000, 0.000]]
}

Q: What are the energies relative to the best structure? A: entry a 65.5; entry b 0.0; entry c 108.9, in kJ/mol of atoms.